VASP calculation (PBE-GGA) on a geometry-optimized NaCa2CrPd structure.

The value obtained for the total energy is -19.53 eV for the cell shown. As for the mass density: 2.72 g/cm³. For the formation enthalpy at 0 K, the calculation gives 123 meV per atom.

The space group is P4/mmm (No. 123) and the conventional cell measures 5.575, 5.575 and 5.136 Å, with angles of 90.00, 90.00 and 90.00 degrees. The inequivalent atoms are Na at (0.000, 0.000, 0.000), Ca at (0.000, 0.500, 0.500), Cr at (0.500, 0.500, 0.000) and Pd at (0.500, 0.500, 0.500).